# TiTlCoBi2

A crystal of TiTlCoBi2 relaxed with PBEsol (meta-GGA SCAN, Alexandria).

```
5
Lattice="5.134 0.000 0.000 0.000 5.645 0.000 0.000 0.000 5.645" Properties=species:S:1:pos:R:3 pbc="T T T"
Tl 0.000 0.000 0.000
Co 2.567 2.822 2.822
Bi 0.000 0.000 2.822
Bi 0.000 2.822 0.000
Ti 2.567 0.000 0.000
```

D(E_F): 4.87 states/eV per cell
SG: P4/mmm


# TlCo3Bi

A crystal of TlCo3Bi relaxed with PBEsol (meta-GGA SCAN, Alexandria).

```
5
Lattice="-0.538 -2.808 -3.838 3.262 -3.028 1.759 -3.460 -2.418 2.254" Properties=species:S:1:pos:R:3 pbc="T T T"
Tl -0.368 -4.127 0.088
Co 1.631 -1.514 0.879
Co -1.730 -1.209 1.127
Co -0.269 -1.404 -1.919
Bi 0.000 0.000 0.000
```

D(E_F): 3.13 states/eV per cell
SG: Pm-3m


# TlCo2Bi

A crystal of TlCo2Bi relaxed with PBEsol (meta-GGA SCAN, Alexandria).

```
4
Lattice="4.560 0.000 0.000 2.280 3.949 0.000 2.280 1.316 3.723" Properties=species:S:1:pos:R:3 pbc="T T T"
Tl 0.000 0.000 0.000
Co 2.280 1.316 0.931
Co 6.840 3.949 2.792
Bi 4.560 2.633 1.862
```

D(E_F): 1.99 states/eV per cell
SG: Fm-3m
Energy above the most stable polymorph in this dataset: 0 kJ/mol of formula units


# TlCo2Bi

A crystal of TlCo2Bi relaxed with PBEsol (meta-GGA SCAN, Alexandria).

```
8
Lattice="5.769 -0.023 0.000 -2.516 5.191 0.000 -1.626 -2.584 4.895" Properties=species:S:1:pos:R:3 pbc="T T T"
Tl 1.626 2.584 0.000
Tl 2.885 -0.011 2.447
Co 2.058 3.215 2.477
Co 0.381 0.662 2.418
Co -0.877 3.258 0.030
Co 1.690 -1.965 4.865
Bi 0.000 0.000 0.000
Bi -1.258 2.596 2.447
```

D(E_F): 6.29 states/eV per cell
SG: I-42d
Energy above the most stable polymorph in this dataset: 113 kJ/mol of formula units


# Tm12Co5Bi

A crystal of Tm12Co5Bi relaxed with PBEsol (meta-GGA SCAN, Alexandria).

```
18
Lattice="-5.443 4.823 -3.440 -3.492 -4.981 5.265 -3.616 4.636 5.492" Properties=species:S:1:pos:R:3 pbc="T T T"
Tm -6.510 4.625 4.374
Tm -6.042 -0.147 2.943
Tm -2.223 -0.080 2.163
Tm -10.329 4.557 5.154
Tm -6.286 -2.034 5.898
Tm -6.266 6.512 1.419
Tm -6.219 2.886 1.333
Tm -6.332 1.591 5.984
Tm -3.874 -2.932 3.573
Tm -8.678 7.410 3.744
Tm -8.606 1.818 3.612
Tm -3.946 2.660 3.705
Co -4.300 4.706 2.149
Co -4.760 4.753 -0.097
Co -8.070 3.476 6.379
Co -4.482 1.002 0.938
Co 0.000 0.000 0.000
Bi -3.554 -0.173 5.378
```

D(E_F): 9.98 states/eV per cell
SG: Immm


# Tm6CoBi2

A crystal of Tm6CoBi2 relaxed with PBEsol (meta-GGA SCAN, Alexandria).

```
9
Lattice="3.986 0.000 0.000 0.000 8.145 0.000 0.000 -4.072 7.054" Properties=species:S:1:pos:R:3 pbc="T T T"
Tm 1.993 -2.488 4.309
Tm 0.000 3.133 5.426
Tm 1.993 4.976 0.000
Tm 0.000 -0.940 1.628
Tm 0.000 1.880 0.000
Tm 1.993 1.585 2.745
Co 1.993 0.000 0.000
Bi 0.000 0.000 4.702
Bi 0.000 4.072 2.351
```

D(E_F): 8.92 states/eV per cell
SG: P-62m


# Y12Co5Bi

A crystal of Y12Co5Bi relaxed with PBEsol (meta-GGA SCAN, Alexandria).

```
18
Lattice="8.210 -0.012 -0.003 -2.900 7.681 0.003 2.900 3.665 6.750" Properties=species:S:1:pos:R:3 pbc="T T T"
Y 5.419 5.211 5.506
Y 2.792 6.123 1.245
Y 0.561 2.901 1.245
Y 7.650 8.433 5.506
Y 0.541 8.796 2.101
Y 7.670 2.539 4.649
Y 5.478 4.057 2.099
Y 2.733 7.278 4.652
Y -0.679 6.144 0.074
Y 8.890 5.191 6.676
Y 5.468 7.560 2.695
Y 2.743 3.774 4.055
Co 4.913 2.271 4.190
Co 6.197 1.382 2.558
Co 4.913 7.944 6.003
Co 3.298 3.390 0.747
Co 0.000 0.000 0.000
Bi 0.000 5.673 3.377
```

D(E_F): 9.84 states/eV per cell
SG: Immm


# ZrCoBi3

A crystal of ZrCoBi3 relaxed with PBEsol (meta-GGA SCAN, Alexandria).

```
5
Lattice="-0.566 -5.483 -0.531 5.127 -0.720 1.966 -2.015 -0.291 5.150" Properties=species:S:1:pos:R:3 pbc="T T T"
Co 1.273 -3.247 3.292
Bi 2.564 -0.360 0.983
Bi -1.008 -0.146 2.575
Bi -0.283 -2.742 -0.266
Zr 0.000 0.000 0.000
```

D(E_F): 5.88 states/eV per cell
SG: Pm-3m


# Zr6CoBi2

A crystal of Zr6CoBi2 relaxed with PBEsol (meta-GGA SCAN, Alexandria).

```
9
Lattice="3.601 0.000 0.000 0.000 7.844 0.000 0.000 -3.922 6.793" Properties=species:S:1:pos:R:3 pbc="T T T"
Co 1.801 0.000 0.000
Bi 0.000 0.000 4.529
Bi 0.000 3.922 2.264
Zr 1.801 3.085 0.000
Zr 1.801 -1.542 2.671
Zr 1.801 2.380 4.122
Zr 0.000 5.992 0.000
Zr 0.000 -2.996 5.189
Zr 0.000 0.926 1.604
```

D(E_F): 6.39 states/eV per cell
SG: P-62m


# CsCrBi2

A crystal of CsCrBi2 relaxed with PBEsol (meta-GGA SCAN, Alexandria).

```
4
Lattice="-0.195 -5.487 -0.849 4.170 -2.553 -2.639 3.414 -3.368 2.805" Properties=species:S:1:pos:R:3 pbc="T T T"
Cs 3.695 -5.704 -0.341
Cr 0.000 0.000 0.000
Bi 1.848 -2.852 -0.171
Bi 5.543 -8.556 -0.512
```

D(E_F): 2.21 states/eV per cell
SG: Fm-3m


# CsCrBi3

A crystal of CsCrBi3 relaxed with PBEsol (meta-GGA SCAN, Alexandria).

```
5
Lattice="6.136 0.000 0.000 0.000 6.136 0.000 0.000 0.000 6.136" Properties=species:S:1:pos:R:3 pbc="T T T"
Cs 0.000 0.000 0.000
Cr 3.068 3.068 3.068
Bi 0.000 3.068 0.000
Bi 0.000 0.000 3.068
Bi 3.068 0.000 0.000
```

D(E_F): 6.44 states/eV per cell
SG: Pm-3m


# ZrCrCu2Bi

A crystal of ZrCrCu2Bi relaxed with PBEsol (meta-GGA SCAN, Alexandria).

```
5
Lattice="-3.838 -2.177 0.939 2.084 -4.208 -1.238 1.473 -0.619 4.586" Properties=species:S:1:pos:R:3 pbc="T T T"
Cr -1.919 -1.089 0.470
Cu 0.737 -0.310 2.293
Cu 1.042 -2.104 -0.619
Bi -0.140 -3.502 2.144
Zr 0.000 0.000 0.000
```

D(E_F): 3.57 states/eV per cell
SG: P4/mmm


Computed calculated formation energy (eV/atom) in order:
1.514, 1.225, 0.739, 1.032, -0.293, -0.504, -0.251, 0.946, -0.439, 0.394, 1.753, 1.289
Computed spin magnetization (μB per formula unit) in order:
4.31, 5.09, 2.40, 0.00, 0.00, 0.00, 1.09, 2.83, 0.00, 4.27, 4.43, 2.44